1.
Li2GdTh: optimized geometry, PBE-GGA.

abc: 3.6377 3.6377 7.6223
angles: 90.00 90.00 90.00
With the nearest neighbours (Å) after each atom.
Positions (direct):
1 Gd 0.5000 0.5000 0.5000  8 Li 3.18
2 Th 0.5000 0.5000 0.0000  8 Li 3.22
3 Li 0.0000 0.0000 0.7464  4 Gd 3.18, 4 Th 3.22
4 Li 0.0000 0.0000 0.2536  4 Gd 3.18, 4 Th 3.22

Summary:
Polymorph energy (0 for the lowest one) in meV per atom: 0
Space group: P4/mmm (123)
Calculated formation energy in meV per atom: 214


2.
LiGd2Ti: optimized geometry, PBE-GGA.

abc: 3.4063 5.3699 5.3699
angles: 90.00 90.00 90.00
With the nearest neighbours (Å) after each atom.
Positions (direct):
1 Gd 0.0000 0.5000 0.0000  4 Li 3.18, 4 Ti 3.18, 2 Gd 3.41
2 Li 0.5000 0.5000 0.5000  8 Gd 3.18, 2 Li 3.41
3 Gd 0.0000 0.0000 0.5000  4 Li 3.18, 4 Ti 3.18, 2 Gd 3.41
4 Ti 0.5000 0.0000 0.0000  8 Gd 3.18, 2 Ti 3.41

Summary:
Polymorph energy (0 for the lowest one) in meV per atom: 67
Space group: P4/mmm (123)
Calculated formation energy in meV per atom: 230


3.
LiGd2Ti: optimized geometry, PBE-GGA.

abc: 3.2091 3.2091 11.6735
angles: 82.10 82.10 60.00
With the nearest neighbours (Å) after each atom.
Positions (direct):
1 Gd 0.0840 0.0840 0.7479  1 Ti 2.91, 6 Gd 3.21
2 Li 0.5000 0.5000 0.5000  6 Li 3.21, 6 Gd 3.41
3 Gd 0.9160 0.9160 0.2521  1 Ti 2.91, 6 Gd 3.21
4 Ti 0.0000 0.0000 0.0000  2 Gd 2.91, 6 Ti 3.21

Summary:
Polymorph energy (0 for the lowest one) in meV per atom: 293
Space group: R-3m (166)
Calculated formation energy in meV per atom: 456


4.
LiGd2Ti: optimized geometry, PBE-GGA.

abc: 3.3708 3.3708 8.9700
angles: 90.00 90.00 90.00
With the nearest neighbours (Å) after each atom.
Positions (direct):
1 Ti 0.5000 0.5000 0.0000  8 Gd 3.17, 4 Ti 3.37
2 Gd 0.0000 0.0000 0.2330  4 Ti 3.17, 4 Gd 3.37, 4 Li 3.38
3 Gd 0.0000 0.0000 0.7670  4 Ti 3.17, 4 Gd 3.37, 4 Li 3.38
4 Li 0.5000 0.5000 0.5000  4 Li 3.37, 8 Gd 3.38

Summary:
Polymorph energy (0 for the lowest one) in meV per atom: 0
Space group: P4/mmm (123)
Calculated formation energy in meV per atom: 163


- What is the calculated formation energy in the third record?
  456 meV per atom